La2ReNi2 | PBE | relaxed

Cell lengths 6.8265, 6.8265, 4.3651 Å; angles 90.00, 90.00, 90.00 degrees
Last column: nearest neighbours and their distance in Å.
Space group P4/mbm (No. 127)
Symmetry-distinct sites (fractional):
La (0.1838, 0.3162, 0.0000)  6 Ni 2.82-3.08
Re (0.0000, 0.0000, 0.5000)  4 Ni 2.67
Ni (0.1307, 0.6307, 0.5000)  1 Ni 2.52, 2 Re 2.67, 2 La 2.82

Calculated values
Total moment in μB/cell: 2.4
Fermi-level density of states in states/eV per cell: 11.89
Calculated formation energy in meV/atom: 113

---

LaReNi2 | PBE | relaxed

Cell lengths 2.8609, 3.3362, 6.9844 Å; angles 90.00, 90.00, 90.00 degrees
Last column: nearest neighbours and their distance in Å.
Space group Pmm2 (No. 25)
Symmetry-distinct sites (fractional):
La (0.0000, 0.0000, 0.0000)  2 La 2.86, 4 Ni 3.03
Re (0.5000, 0.5000, 0.6546)  5 Ni 2.49-2.52
Ni (0.0000, 0.0000, 0.4788)  4 Re 2.52, 4 Ni 2.53
Ni (0.5000, 0.5000, 0.2987)  1 Re 2.49, 4 Ni 2.53

Calculated values
Total moment in μB/cell: 0.0
Fermi-level density of states in states/eV per cell: 3.73
Calculated formation energy in meV/atom: 249

---

LaReNi2 | PBE | relaxed

Cell lengths 2.8529, 4.6625, 9.7835 Å; angles 90.00, 90.00, 90.00 degrees
Last column: nearest neighbours and their distance in Å.
Space group Imm2 (No. 44)
Symmetry-distinct sites (fractional):
La (0.0000, 0.0000, 0.0000)  6 Ni 2.74-3.01, 2 La 2.85
Re (0.0000, 0.5000, 0.2163)  6 Ni 2.65-2.79, 2 Re 2.85
Ni (0.0000, 0.0000, 0.4885)  4 Ni 2.56-2.85, 2 Re 2.65, 4 La 2.74
Ni (0.0000, 0.5000, 0.7714)  4 Ni 2.56-2.85, 4 Re 2.79

Calculated values
Total moment in μB/cell: 0.0
Fermi-level density of states in states/eV per cell: 10.34
Calculated formation energy in meV/atom: 368

---

LaReNi2 | PBE | relaxed

Cell lengths 2.8698, 4.2331, 5.6592 Å; angles 90.00, 104.40, 90.00 degrees
Last column: nearest neighbours and their distance in Å.
Space group Pm (No. 6)
Symmetry-distinct sites (fractional):
La (0.0000, 0.0000, 0.0000)  7 Ni 2.78-3.07, 2 La 2.87
Re (0.3022, 0.5000, 0.6126)  6 Ni 2.51-2.65
Ni (0.6171, 0.5000, 0.2368)  2 Re 2.51, 2 Ni 2.54
Ni (0.7393, 0.0000, 0.4935)  2 Ni 2.54, 4 Re 2.63-2.65, 1 La 2.78

Calculated values
Total moment in μB/cell: 0.0
Fermi-level density of states in states/eV per cell: 3.94
Calculated formation energy in meV/atom: 206

---

LaReNi2 | PBE | relaxed

Cell lengths 2.8364, 3.5072, 6.7629 Å; angles 90.00, 90.15, 90.00 degrees
Last column: nearest neighbours and their distance in Å.
Space group P2/m (No. 10)
Symmetry-distinct sites (fractional):
La (0.0000, 0.0000, 0.0000)  2 La 2.84, 8 Ni 3.12
Re (0.0000, 0.0000, 0.5000)  8 Ni 2.57, 2 Re 2.84
Ni (0.4990, 0.5000, 0.3190)  1 Ni 2.45, 4 Re 2.57

Calculated values
Total moment in μB/cell: 0.0
Fermi-level density of states in states/eV per cell: 5.59
Calculated formation energy in meV/atom: 169

---

LaReNi2 | PBE | relaxed

Cell lengths 3.9945, 3.9945, 8.3377 Å; angles 90.00, 90.00, 90.00 degrees
Last column: nearest neighbours and their distance in Å.
Space group I-4m2 (No. 119)
Symmetry-distinct sites (fractional):
La (0.0000, 0.0000, 0.0000)  8 Ni 2.82-2.89, 4 Re 2.89
Re (0.0000, 0.5000, 0.2500)  8 Ni 2.82-2.89, 4 La 2.89
Ni (0.0000, 0.0000, 0.5000)  4 La 2.82, 4 Re 2.89, 4 Ni 2.89
Ni (0.0000, 0.5000, 0.7500)  4 Re 2.82, 4 La 2.89, 4 Ni 2.89

Calculated values
Total moment in μB/cell: 3.9
Fermi-level density of states in states/eV per cell: 8.96
Calculated formation energy in meV/atom: 506